Er2Mn2GaCo5: optimized geometry, GGA-PBE.

Its density of states at the Fermi level is 24.4 states/eV/cell. The electronic total energy comes out at -132.61 eV per cell. The formation energy comes out at -0.3 eV/f.u.

It has space group P4/mbm (No. 127), with a = 9.206 Å, b = 9.206 Å, c = 3.441 Å, α = 90.00°, β = 90.00° and γ = 90.00°. The distinct sites, in fractional coordinates, are Er at (0.179, 0.321, 0.000), Mn at (0.120, 0.620, 0.000), Ga at (0.000, 0.000, 0.000), Co at (0.000, 0.500, 0.500) and Co at (0.058, 0.799, 0.500).

***

Sc6PbSe2S3: optimized geometry, GGA-PBE.

Its density of states at the Fermi level is 10.3 states/eV/cell. The energy relative to the elements, uncorrected comes out at -1.505 eV/atom. The electronic total energy comes out at -158.21 eV per cell.

It has space group C2/m (No. 12), with a = 16.906 Å, b = 3.734 Å, c = 7.876 Å, α = 90.00°, β = 104.60° and γ = 90.00°. The distinct sites, in fractional coordinates, are Sc at (0.006, 0.000, 0.222), Sc at (0.163, 0.500, 0.095), Sc at (0.177, 0.500, 0.567), Pb at (0.000, 0.500, 0.500), Se at (0.168, 0.000, 0.833), S at (0.000, 0.500, 0.000) and S at (0.166, 0.000, 0.327).

***

TaV5H4: optimized geometry, GGA-PBE.

Its density of states at the Fermi level is 11.2 states/eV/cell. The electronic total energy comes out at -144.66 eV per cell.

It has space group C2/m (No. 12), with a = 10.217 Å, b = 3.095 Å, c = 6.335 Å, α = 90.00°, β = 108.27° and γ = 90.00°. The distinct sites, in fractional coordinates, are Ta at (0.000, 0.000, 0.000), V at (0.000, 0.000, 0.500), V at (0.170, 0.500, 0.818), V at (0.177, 0.500, 0.342), H at (0.004, 0.500, 0.343) and H at (0.175, 0.000, 0.957).

***

AlTlAsBr2: optimized geometry, GGA-PBE.

Its density of states at the Fermi level is 3.1 states/eV/cell. The energy relative to the elements, uncorrected comes out at -0.294 eV/atom. The electronic total energy comes out at -15.57 eV per cell. As for the energy above the most stable polymorph in this dataset: 0 meV per atom.

It has space group P4/mmm (No. 123), with a = 5.282 Å, b = 5.282 Å, c = 4.960 Å, α = 90.00°, β = 90.00° and γ = 90.00°. The distinct sites, in fractional coordinates, are Al at (0.000, 0.000, 0.000), Tl at (0.500, 0.500, 0.500), As at (0.000, 0.000, 0.500) and Br at (0.000, 0.500, 0.000).

***

HfCrTc: optimized geometry, GGA-PBE.

Its density of states at the Fermi level is 3.7 states/eV/cell. The electronic total energy comes out at -60.75 eV per cell. As for the energy above the most stable polymorph in this dataset: 127 meV per atom. The formation energy comes out at -0.4 eV/f.u.

It has space group I4mm (No. 107), with a = 3.110 Å, b = 3.110 Å, c = 9.704 Å, α = 90.00°, β = 90.00° and γ = 90.00°. The distinct sites, in fractional coordinates, are Hf at (0.000, 0.000, 0.000), Cr at (0.000, 0.000, 0.323) and Tc at (0.000, 0.000, 0.681).

***

SmDy4Tm2: optimized geometry, GGA-PBE.

Its density of states at the Fermi level is 10.8 states/eV/cell. The electronic total energy comes out at -30.65 eV per cell. As for the energy above the most stable polymorph in this dataset: 169 meV per atom. The formation energy comes out at 1.4 eV/f.u.

It has space group P1 (No. 1), with a = 6.449 Å, b = 6.522 Å, c = 6.744 Å, α = 78.98°, β = 61.88° and γ = 65.43°. The distinct sites, in fractional coordinates, are Sm at (0.000, 0.000, 0.000), Dy at (0.303, 0.001, 0.395), Dy at (0.315, 0.392, 0.002), Dy at (0.686, 0.608, 0.998), Dy at (0.699, 0.999, 0.605), Tm at (0.229, 0.503, 0.542) and Tm at (0.773, 0.497, 0.458).

***

Li2TiCu2: optimized geometry, GGA-PBE.

Its density of states at the Fermi level is 7.5 states/eV/cell. The electronic total energy comes out at -38.42 eV per cell. As for the energy above the most stable polymorph in this dataset: 65 meV per atom. The formation energy comes out at 0.7 eV/f.u.

It has space group I4/mmm (No. 139), with a = 3.364 Å, b = 3.364 Å, c = 12.676 Å, α = 90.00°, β = 90.00° and γ = 90.00°. The distinct sites, in fractional coordinates, are Li at (0.000, 0.500, 0.250), Ti at (0.000, 0.000, 0.000) and Cu at (0.000, 0.000, 0.404).

***

LiZnSb: optimized geometry, GGA-PBE.

Its density of states at the Fermi level is 0.0 states/eV/cell. The energy relative to the elements, uncorrected comes out at -0.205 eV/atom. The electronic total energy comes out at -63.40 eV per cell.

It has space group Fdd2 (No. 43), with a = 4.313 Å, b = 9.181 Å, c = 12.521 Å, α = 90.00°, β = 90.00° and γ = 90.00°. The distinct sites, in fractional coordinates, are Li at (0.000, 0.000, 0.000), Zn at (0.000, 0.000, 0.694) and Sb at (0.000, 0.000, 0.338).